Entry 1:
VASP calculation (PBE) on an optimized crystal structure of ZnPtN2F.

* space group: P4/mmm
* ΔE_f (raw): 722 meV per atom
* energy relative to the lowest polymorph listed for this composition: 0.0 meV/atom
* volume: 17.3 Å³/atom

Cell: 3.707 3.707 6.305 Å, 90.00 90.00 90.00°
Fractional positions:
Zn  0.000  0.000  0.000
Pt  0.500  0.500  0.500
N  0.000  0.500  0.500
N  0.500  0.000  0.500
F  0.500  0.500  0.000

=====

Entry 2:
VASP calculation (PBE) on an optimized crystal structure of BaYTe2Cl.

* space group: P4/mmm
* ΔE_f (raw): -1696 meV per atom
* volume: 37.3 Å³/atom

Cell: 5.995 5.995 5.194 Å, 90.00 90.00 90.00°
Fractional positions:
Ba  0.000  0.000  0.000
Y  0.500  0.500  0.500
Te  0.000  0.500  0.500
Te  0.500  0.000  0.500
Cl  0.500  0.500  0.000

=====

Entry 3:
VASP calculation (PBE) on an optimized crystal structure of RbNa3O2.

* space group: C2/m
* ΔE_f (raw): -1070 meV per atom
* volume: 18.8 Å³/atom

Cell: 7.342 7.342 9.010 Å, 112.16 112.16 30.36°
Fractional positions:
Rb  0.117  0.117  0.052
Rb  0.883  0.883  0.948
Na  0.013  0.013  0.347
Na  0.328  0.328  0.587
Na  0.366  0.366  0.304
Na  0.634  0.634  0.696
Na  0.672  0.672  0.413
Na  0.987  0.987  0.653
O  0.163  0.163  0.585
O  0.495  0.495  0.200
O  0.505  0.505  0.800
O  0.837  0.837  0.415

=====

Entry 4:
VASP calculation (PBE) on an optimized crystal structure of HfZr3Ag.

* ΔH_f (0 K): 0.085 eV per atom
* space group: C2/m
* energy relative to the lowest polymorph listed for this composition: 0.0 meV/atom
* volume: 22.1 Å³/atom

Cell: 7.599 7.599 10.206 Å, 108.66 108.66 23.35°
Fractional positions:
Hf  0.035  0.035  0.145
Hf  0.965  0.965  0.855
Zr  0.055  0.055  0.648
Zr  0.345  0.345  0.017
Zr  0.355  0.355  0.578
Zr  0.645  0.645  0.422
Zr  0.655  0.655  0.983
Zr  0.945  0.945  0.352
Ag  0.254  0.254  0.257
Ag  0.746  0.746  0.743

=====

Entry 5:
VASP calculation (PBE) on an optimized crystal structure of UTcO3.

* space group: Pm-3m
* ΔE_f (raw): -1585 meV per atom
* volume: 12.5 Å³/atom

Cell: 3.966 3.966 3.966 Å, 90.00 90.00 90.00°
Fractional positions:
U  0.000  0.000  0.000
Tc  0.500  0.500  0.500
O  0.000  0.500  0.500
O  0.500  0.000  0.500
O  0.500  0.500  0.000

=====

Entry 6:
VASP calculation (PBE) on an optimized crystal structure of La2MnBI.

* space group: P4/mmm
* ΔE_f (raw): 996 meV per atom
* volume: 31.8 Å³/atom

Cell: 5.963 5.963 4.465 Å, 90.00 90.00 90.00°
Fractional positions:
La  0.000  0.500  0.000
La  0.500  0.000  0.000
Mn  0.000  0.000  0.500
B  0.500  0.500  0.500
I  0.500  0.500  0.000

=====

Which value of volume does entry 4 give?
22.1 Å³/atom

=====

What is the volume in the sixth record?
31.8 Å³/atom